(1)
Here is a geometry-optimized Pr6Nd5Mg structure from Alexandria via LeMat-Bulk. Energies are from GGA-PBE.

Cell and atoms, written as CIF:
```
data_Pr6Nd5Mg
_chemical_formula_sum 'Pr6 Nd5 Mg1'
_symmetry_space_group_name_H-M 'P 1'
_symmetry_Int_Tables_number 1
_cell_length_a 9.6903
_cell_length_b 9.6903
_cell_length_c 9.6903
_cell_angle_alpha 148.86
_cell_angle_beta 115.56
_cell_angle_gamma 73.30
loop_
_symmetry_equiv_pos_as_xyz
'x,y,z'
loop_
_atom_site_label
_atom_site_fract_x
_atom_site_fract_y
_atom_site_fract_z
Pr1 0.0814 0.8348 0.2465
Pr2 0.2479 0.5000 0.7479
Pr3 0.4117 0.1652 0.2465
Pr4 0.5883 0.8348 0.7535
Pr5 0.7521 0.5000 0.2521
Pr6 0.9186 0.1652 0.7535
Nd1 0.1686 0.6686 0.5000
Nd2 0.3348 0.3348 0.0000
Nd3 0.5000 0.0000 0.5000
Nd4 0.6652 0.6652 0.0000
Nd5 0.8314 0.3314 0.5000
Mg1 0.0000 0.0000 0.0000
```

For the calculated total energy, the calculation gives -4.501 eV/atom. The calculation puts the spin magnetization at 0.000 μB/atom. As for the calculated formation energy: 8 meV per atom. The calculation puts the mass density at 6.32 Mg/m³.

(2)
Here is a geometry-optimized Pr2NdMg6 structure from Alexandria via LeMat-Bulk. Energies are from GGA-PBE.

Cell and atoms, written as CIF:
```
data_Pr2NdMg6
_chemical_formula_sum 'Pr2 Nd1 Mg6'
_symmetry_space_group_name_H-M 'P 1'
_symmetry_Int_Tables_number 1
_cell_length_a 9.2078
_cell_length_b 9.2078
_cell_length_c 3.3969
_cell_angle_alpha 90.00
_cell_angle_beta 90.00
_cell_angle_gamma 120.00
loop_
_symmetry_equiv_pos_as_xyz
'x,y,z'
loop_
_atom_site_label
_atom_site_fract_x
_atom_site_fract_y
_atom_site_fract_z
Pr1 0.3333 0.6667 0.0000
Pr2 0.6667 0.3333 0.0000
Nd1 0.0000 0.0000 0.0000
Mg1 0.0000 0.3328 0.5000
Mg2 0.0000 0.6672 0.5000
Mg3 0.3328 0.0000 0.5000
Mg4 0.3328 0.3328 0.5000
Mg5 0.6672 0.0000 0.5000
Mg6 0.6672 0.6672 0.5000
```

For the calculated total energy, the calculation gives -2.753 eV/atom. The calculation puts the spin magnetization at 0.000 μB/atom. As for the calculated formation energy: -98 meV per atom. The calculation puts the mass density at 3.81 Mg/m³.

(3)
Here is a geometry-optimized Pr2Nd6Mg structure from Alexandria via LeMat-Bulk. Energies are from GGA-PBE.

Cell and atoms, written as CIF:
```
data_Pr2Nd6Mg
_chemical_formula_sum 'Pr4 Nd12 Mg2'
_symmetry_space_group_name_H-M 'P 1'
_symmetry_Int_Tables_number 1
_cell_length_a 6.8956
_cell_length_b 6.8956
_cell_length_c 15.8913
_cell_angle_alpha 94.16
_cell_angle_beta 94.16
_cell_angle_gamma 55.31
loop_
_symmetry_equiv_pos_as_xyz
'x,y,z'
loop_
_atom_site_label
_atom_site_fract_x
_atom_site_fract_y
_atom_site_fract_z
Pr1 0.0601 0.3911 0.1965
Pr2 0.3911 0.0601 0.6965
Pr3 0.6089 0.9399 0.3035
Pr4 0.9399 0.6089 0.8035
Nd1 0.0423 0.7313 0.0315
Nd2 0.1667 0.5124 0.4167
Nd3 0.2687 0.9577 0.4685
Nd4 0.2715 0.6133 0.6402
Nd5 0.3866 0.7285 0.8598
Nd6 0.4876 0.8333 0.0833
Nd7 0.5124 0.1667 0.9167
Nd8 0.6133 0.2715 0.1402
Nd9 0.7285 0.3866 0.3598
Nd10 0.7313 0.0423 0.5315
Nd11 0.8333 0.4876 0.5833
Nd12 0.9577 0.2687 0.9685
Mg1 0.1672 0.8328 0.2500
Mg2 0.8328 0.1672 0.7500
```

For the calculated total energy, the calculation gives -4.404 eV/atom. The calculation puts the spin magnetization at 0.000 μB/atom. As for the calculated formation energy: 14 meV per atom. The calculation puts the mass density at 6.28 Mg/m³.

(4)
Here is a geometry-optimized Pr4NdMg5 structure from Alexandria via LeMat-Bulk. Energies are from GGA-PBE.

Cell and atoms, written as CIF:
```
data_Pr4NdMg5
_chemical_formula_sum 'Pr4 Nd1 Mg5'
_symmetry_space_group_name_H-M 'P 1'
_symmetry_Int_Tables_number 1
_cell_length_a 3.9050
_cell_length_b 3.9050
_cell_length_c 19.5830
_cell_angle_alpha 90.00
_cell_angle_beta 90.00
_cell_angle_gamma 90.00
loop_
_symmetry_equiv_pos_as_xyz
'x,y,z'
loop_
_atom_site_label
_atom_site_fract_x
_atom_site_fract_y
_atom_site_fract_z
Pr1 0.0000 0.0000 0.1003
Pr2 0.0000 0.0000 0.3011
Pr3 0.0000 0.0000 0.6989
Pr4 0.0000 0.0000 0.8997
Nd1 0.0000 0.0000 0.5000
Mg1 0.5000 0.5000 0.0000
Mg2 0.5000 0.5000 0.2006
Mg3 0.5000 0.5000 0.4014
Mg4 0.5000 0.5000 0.5986
Mg5 0.5000 0.5000 0.7994
```

For the calculated total energy, the calculation gives -3.300 eV/atom. The calculation puts the spin magnetization at 0.000 μB/atom. As for the calculated formation energy: -115 meV per atom. The calculation puts the mass density at 4.61 Mg/m³.